GdYAlPd (GGA-PBE, relaxed); V = 93.1 Å³/cell; energy relative to the elements = -0.57 eV per atom
1.0
5.0882 0.0000 0.0000
2.5441 4.4065 0.0000
2.5441 1.4688 4.1545
Y Al Pd Gd
1 1 1 1
Direct
0.7500 0.7500 0.7500
0.5000 0.5000 0.5000
0.0000 0.0000 0.0000
0.2500 0.2500 0.2500